Material: YScNi2
Method: DFT, SCAN
State: single point on PBEsol structure

The value obtained for the formation energy from the elements is -0.4339 eV per atom. The density of states at the Fermi level comes out at 2.57 states/eV/f.u. The calculation puts the total DFT energy (no corrections) at -76.16 eV for the cell shown. Its total magnetization is 0.0 μB per formula unit.

The space group is P4/mmm (No. 123) and the conventional cell measures 3.224, 3.224 and 6.461 Å, with angles of 90.00, 90.00 and 90.00 degrees. The asymmetric unit holds Y at (0.000, 0.000, 0.000), Sc at (0.000, 0.000, 0.500) and Ni at (0.500, 0.500, 0.277).

Material: YScNi2
Method: DFT, SCAN
State: single point on PBEsol structure

The value obtained for the formation energy from the elements is -0.0573 eV per atom. The density of states at the Fermi level comes out at 4.70 states/eV/f.u. The calculation puts the total DFT energy (no corrections) at -298.62 eV for the cell shown. Its total magnetization is 0.0 μB per formula unit.

The space group is F-43m (No. 216) and the conventional cell measures 6.299, 6.299 and 6.299 Å, with angles of 90.00, 90.00 and 90.00 degrees. The asymmetric unit holds Y at (0.000, 0.000, 0.000), Sc at (0.250, 0.250, 0.750), Ni at (0.000, 0.000, 0.500) and Ni at (0.250, 0.250, 0.250).

Material: ScZnNi
Method: DFT, SCAN
State: single point on PBEsol structure

The value obtained for the formation energy from the elements is -0.4041 eV per atom. The density of states at the Fermi level comes out at 2.52 states/eV/f.u. The calculation puts the total DFT energy (no corrections) at -45.14 eV for the cell shown. Its total magnetization is 0.0 μB per formula unit.

The space group is P-6m2 (No. 187) and the conventional cell measures 4.1622, 4.1622 and 3.0346 Å, with angles of 90.00, 90.00 and 120.00 degrees. The asymmetric unit holds Sc at (0.0000, 0.0000, 0.0000), Zn at (0.3333, 0.6667, 0.5000) and Ni at (0.6667, 0.3333, 0.5000).

no.,calculated volume (Å³/cell),ρ (g/cm3)
1,67.2,6.2
2,250.0,6.7
3,45.5,6.2